Material: YTa2Cl
Method: DFT, PBE
State: optimized geometry

a b c (Å): 9.845 9.845 9.845
angles (deg): 18.17 18.17 18.17
Fractional coordinates of all 4 atoms:
1 Cl 0.750 0.750 0.750
2 Ta 0.009 0.009 0.009
3 Ta 0.491 0.491 0.491
4 Y 0.250 0.250 0.250

Computed properties:
M_tot (μB/atom): 0.00
SG: R-3m (166)
Polymorph energy (0 for the lowest one) (eV per atom): 0.578
DOS(E_F) (states/eV/cell): 5.8

Material: Tb2VMoN5
Method: DFT, PBE
State: optimized geometry

a b c (Å): 3.247 6.692 10.128
angles (deg): 90.00 90.00 104.04
Fractional coordinates of all 18 atoms:
1 Mo 0.221 0.442 0.013
2 Mo 0.779 0.558 0.513
3 V 0.529 0.059 0.960
4 V 0.471 0.941 0.460
5 N 0.048 0.096 0.048
6 N 0.631 0.261 0.502
7 N 0.320 0.640 0.378
8 N 0.282 0.564 0.648
9 N 0.680 0.360 0.878
10 N 0.952 0.904 0.548
11 N 0.369 0.739 0.002
12 N 0.490 0.980 0.787
13 N 0.718 0.436 0.148
14 N 0.510 0.020 0.287
15 Tb 0.106 0.213 0.694
16 Tb 0.894 0.787 0.194
17 Tb 0.145 0.290 0.293
18 Tb 0.855 0.710 0.793

Computed properties:
M_tot (μB/atom): 0.00
SG: Cmc2_1 (36)
Total DFT energy (no corrections) (hartree per atom): -0.3287
DOS(E_F) (states/eV/cell): 7.9

Material: DyHo2In2Hg2
Method: DFT, PBE
State: optimized geometry

a b c (Å): 4.936 4.936 9.238
angles (deg): 74.51 74.51 60.00
Fractional coordinates of all 7 atoms:
1 Hg 0.572 0.572 0.284
2 Hg 0.428 0.428 0.716
3 In 0.731 0.731 0.808
4 In 0.269 0.269 0.192
5 Ho 0.131 0.131 0.606
6 Ho 0.869 0.869 0.394
7 Dy 0.000 0.000 0.000

Computed properties:
M_tot (μB/atom): 0.00
SG: R-3m (166)
Total DFT energy (no corrections) (hartree per atom): -0.1135
DOS(E_F) (states/eV/cell): 4.1

Material: Ac2CoGe
Method: DFT, PBE
State: optimized geometry

a b c (Å): 4.485 4.485 9.368
angles (deg): 76.15 76.15 60.00
Site moments in Bohr magnetons follow the coordinates.
Fractional coordinates of all 4 atoms:
1 Ac 0.899 0.899 0.303  -0.08
2 Ac 0.101 0.101 0.697  -0.08
3 Co 0.000 0.000 0.000  1.45
4 Ge 0.500 0.500 0.500  0.02

Computed properties:
M_tot (μB/atom): 0.23
SG: R-3m (166)
Total DFT energy (no corrections) (hartree per atom): -0.1658
DOS(E_F) (states/eV/cell): 5.3

Material: Rb3Ac3AlTe8
Method: DFT, PBE
State: optimized geometry

a b c (Å): 9.394 9.406 10.379
angles (deg): 116.99 90.00 119.96
Fractional coordinates of all 15 atoms:
1 Te 0.209 0.981 0.690
2 Te 0.261 0.523 0.284
3 Te 0.228 0.019 0.310
4 Te 0.739 0.477 0.716
5 Te 0.772 0.981 0.690
6 Te 0.208 0.417 0.690
7 Te 0.791 0.019 0.310
8 Te 0.792 0.583 0.310
9 Ac 0.500 0.500 0.500
10 Ac 0.000 0.500 0.500
11 Ac 0.500 0.000 0.500
12 Rb 0.500 0.500 0.000
13 Rb 0.000 0.500 0.000
14 Rb 0.000 0.000 0.000
15 Al 0.000 0.000 0.500

Computed properties:
M_tot (μB/atom): 0.00
SG: C2/m (12)
Total DFT energy (no corrections) (hartree per atom): -0.1498
DOS(E_F) (states/eV/cell): 20.0

Material: Ho4Tm6Sc
Method: DFT, PBE
State: optimized geometry

a b c (Å): 6.419 6.419 9.555
angles (deg): 109.63 109.63 90.00
Fractional coordinates of all 11 atoms:
1 Tm 0.000 0.500 0.000
2 Tm 0.853 0.484 0.338
3 Tm 0.516 0.516 0.662
4 Tm 0.147 0.147 0.662
5 Tm 0.500 0.000 0.000
6 Tm 0.484 0.853 0.338
7 Ho 0.314 0.314 0.269
8 Ho 0.686 0.046 0.731
9 Ho 0.046 0.686 0.731
10 Ho 0.954 0.954 0.269
11 Sc 0.500 0.500 0.000

Computed properties:
M_tot (μB/atom): 0.00
SG: I-42m (121)
Polymorph energy (0 for the lowest one) (eV per atom): 0.158
DOS(E_F) (states/eV/cell): 12.6

Material: Ac4TlInAg2
Method: DFT, PBE
State: optimized geometry

a b c (Å): 5.725 5.725 9.935
angles (deg): 73.26 73.26 60.00
Fractional coordinates of all 8 atoms:
1 Ag 0.749 0.749 0.752
2 Ag 0.251 0.251 0.248
3 In 0.000 0.000 0.000
4 Ac 0.875 0.875 0.374
5 Ac 0.375 0.375 0.876
6 Ac 0.125 0.125 0.626
7 Ac 0.625 0.625 0.124
8 Tl 0.500 0.500 0.500

Computed properties:
M_tot (μB/atom): 0.00
SG: R-3m (166)
Total DFT energy (no corrections) (hartree per atom): -0.1371
DOS(E_F) (states/eV/cell): 7.1

Material: Rb2MnI2Br4
Method: DFT, PBE
State: optimized geometry

a b c (Å): 7.731 7.731 7.731
angles (deg): 91.35 119.22 119.22
Site moments in Bohr magnetons follow the coordinates.
Fractional coordinates of all 9 atoms:
1 Mn 0.000 0.000 0.000  3.12
2 Rb 0.500 0.250 0.750  0.00
3 Rb 0.500 0.750 0.250  0.00
4 I 0.000 0.252 0.252  -0.07
5 I 0.000 0.748 0.748  -0.07
6 Br 0.000 0.223 0.777  -0.03
7 Br 0.000 0.777 0.223  -0.03
8 Br 0.555 0.777 0.777  -0.03
9 Br 0.445 0.223 0.223  -0.03

Computed properties:
M_tot (μB/atom): 0.33
SG: I4/mmm (139)
Total DFT energy (no corrections) (hartree per atom): -0.1230
DOS(E_F) (states/eV/cell): 0.7

Material: NdIn3Ni
Method: DFT, PBE
State: optimized geometry

a b c (Å): 4.953 4.953 4.953
angles (deg): 90.00 90.00 90.00
Fractional coordinates of all 5 atoms:
1 In 0.000 0.500 0.000
2 In 0.000 0.000 0.500
3 In 0.500 0.000 0.000
4 Ni 0.000 0.000 0.000
5 Nd 0.500 0.500 0.500

Computed properties:
M_tot (μB/atom): 0.00
SG: Pm-3m (221)
Total DFT energy (no corrections) (hartree per atom): -0.1462
DOS(E_F) (states/eV/cell): 3.2

Material: SrFe4Se
Method: DFT, PBE
State: optimized geometry

a b c (Å): 5.239 5.239 5.239
angles (deg): 60.00 60.00 60.00
Site moments in Bohr magnetons follow the coordinates.
Fractional coordinates of all 6 atoms:
1 Sr 0.000 0.000 0.000  -0.08
2 Fe 0.373 0.373 0.882  2.75
3 Fe 0.373 0.373 0.373  2.75
4 Fe 0.882 0.373 0.373  2.75
5 Fe 0.373 0.882 0.373  2.75
6 Se 0.750 0.750 0.750  0.15

Computed properties:
M_tot (μB/atom): 1.87
SG: F-43m (216)
Total DFT energy (no corrections) (hartree per atom): -0.2255
DOS(E_F) (states/eV/cell): 7.6

Material: PaTl2Bi
Method: DFT, PBE
State: optimized geometry

a b c (Å): 4.999 4.677 4.677
angles (deg): 90.00 90.00 90.00
Fractional coordinates of all 4 atoms:
1 Bi 0.500 0.000 0.000
2 Tl 0.000 0.000 0.500
3 Tl 0.000 0.500 0.000
4 Pa 0.500 0.500 0.500

Computed properties:
M_tot (μB/atom): 0.00
SG: P4/mmm (123)
Polymorph energy (0 for the lowest one) (eV per atom): 0.000
DOS(E_F) (states/eV/cell): 5.4

Material: Cu2IrPb
Method: DFT, PBE
State: optimized geometry

a b c (Å): 4.488 4.488 4.488
angles (deg): 60.00 60.00 60.00
Fractional coordinates of all 4 atoms:
1 Pb 0.750 0.750 0.750
2 Cu 0.250 0.250 0.250
3 Cu 0.000 0.000 0.000
4 Ir 0.500 0.500 0.500

Computed properties:
M_tot (μB/atom): 0.00
SG: F-43m (216)
Total DFT energy (no corrections) (hartree per atom): -0.1784
DOS(E_F) (states/eV/cell): 1.3

Material: Pm7AsS5
Method: DFT, PBE
State: optimized geometry

a b c (Å): 4.021 6.917 23.956
angles (deg): 90.03 90.00 106.90
Fractional coordinates of all 26 atoms:
1 Pm 0.911 0.821 0.387
2 Pm 0.471 0.942 0.250
3 Pm 0.089 0.179 0.887
4 Pm 0.363 0.725 0.962
5 Pm 0.362 0.725 0.538
6 Pm 0.638 0.275 0.462
7 Pm 0.190 0.381 0.178
8 Pm 0.638 0.277 0.038
9 Pm 0.811 0.621 0.677
10 Pm 0.089 0.179 0.613
11 Pm 0.190 0.379 0.322
12 Pm 0.529 0.059 0.750
13 Pm 0.912 0.823 0.113
14 Pm 0.811 0.621 0.822
15 S 0.724 0.448 0.929
16 S 0.277 0.554 0.071
17 S 0.001 0.001 0.000
18 S 0.449 0.898 0.643
19 S 0.551 0.102 0.357
20 S 0.552 0.104 0.143
21 S 0.724 0.447 0.571
22 S 0.449 0.898 0.857
23 S 0.276 0.553 0.429
24 S 0.000 0.000 0.500
25 As 0.192 0.384 0.750
26 As 0.809 0.617 0.250

Computed properties:
M_tot (μB/atom): 0.00
SG: Cm (8)
Total DFT energy (no corrections) (hartree per atom): -0.2311
DOS(E_F) (states/eV/cell): 13.3

Material: NiP3
Method: DFT, PBE
State: optimized geometry

a b c (Å): 3.462 3.464 5.122
angles (deg): 90.00 90.00 90.00
Fractional coordinates of all 4 atoms:
1 P 0.500 0.000 0.611
2 P 0.000 0.500 0.222
3 P 0.500 0.500 0.917
4 Ni 0.000 0.000 0.917

Computed properties:
M_tot (μB/atom): 0.00
SG: P-4m2 (115)
Polymorph energy (0 for the lowest one) (eV per atom): 0.435
DOS(E_F) (states/eV/cell): 1.5

Material: Ho3MgPb3
Method: DFT, PBE
State: optimized geometry

a b c (Å): 6.198 9.292 9.292
angles (deg): 120.00 90.00 90.00
Fractional coordinates of all 14 atoms:
1 Pb 0.250 0.687 0.656
2 Pb 0.750 0.313 0.344
3 Pb 0.250 0.344 0.031
4 Pb 0.750 0.031 0.687
5 Pb 0.750 0.656 0.969
6 Pb 0.250 0.969 0.313
7 Mg 0.750 0.333 0.667
8 Mg 0.250 0.667 0.333
9 Ho 0.750 0.684 0.645
10 Ho 0.250 0.645 0.960
11 Ho 0.750 0.960 0.316
12 Ho 0.750 0.355 0.040
13 Ho 0.250 0.316 0.355
14 Ho 0.250 0.040 0.684

Computed properties:
M_tot (μB/atom): 0.00
SG: P6_3/m (176)
Total DFT energy (no corrections) (hartree per atom): -0.1464
DOS(E_F) (states/eV/cell): 6.3

Material: Ho5Cd2OsRh2
Method: DFT, PBE
State: optimized geometry

a b c (Å): 3.523 11.525 11.525
angles (deg): 90.00 90.00 90.00
Fractional coordinates of all 20 atoms:
1 Rh 0.000 0.632 0.868
2 Rh 0.000 0.132 0.632
3 Rh 0.000 0.368 0.132
4 Rh 0.000 0.868 0.368
5 Ho 0.500 0.806 0.934
6 Ho 0.500 0.066 0.806
7 Ho 0.500 0.000 0.500
8 Ho 0.500 0.306 0.566
9 Ho 0.500 0.934 0.194
10 Ho 0.500 0.194 0.066
11 Ho 0.500 0.434 0.306
12 Ho 0.500 0.566 0.694
13 Ho 0.500 0.694 0.434
14 Ho 0.500 0.500 0.000
15 Cd 0.000 0.679 0.179
16 Cd 0.000 0.821 0.679
17 Cd 0.000 0.321 0.821
18 Cd 0.000 0.179 0.321
19 Os 0.000 0.000 0.000
20 Os 0.000 0.500 0.500

Computed properties:
M_tot (μB/atom): 0.00
SG: P4/mbm (127)
Total DFT energy (no corrections) (hartree per atom): -0.2033
DOS(E_F) (states/eV/cell): 10.8

Material: Sr2VCl
Method: DFT, PBE
State: optimized geometry

a b c (Å): 5.699 5.699 5.699
angles (deg): 60.00 60.00 60.00
Site moments in Bohr magnetons follow the coordinates.
Fractional coordinates of all 4 atoms:
1 V 0.500 0.500 0.500  3.25
2 Cl 0.000 0.000 0.000  0.08
3 Sr 0.750 0.750 0.750  0.18
4 Sr 0.250 0.250 0.250  0.18

Computed properties:
M_tot (μB/atom): 1.49
SG: Fm-3m (225)
Polymorph energy (0 for the lowest one) (eV per atom): 0.112
DOS(E_F) (states/eV/cell): 2.6

Material: Zn2IrRh
Method: DFT, PBE
State: optimized geometry

a b c (Å): 4.916 5.064 2.744
angles (deg): 76.06 86.46 117.95
Fractional coordinates of all 4 atoms:
1 Rh 0.500 0.500 0.000
2 Zn 0.000 0.000 0.000
3 Zn 0.500 0.000 0.500
4 Ir 0.000 0.500 0.500

Computed properties:
M_tot (μB/atom): 0.00
SG: C2/m (12)
Total DFT energy (no corrections) (hartree per atom): -0.1774
DOS(E_F) (states/eV/cell): 3.0

Material: VTe
Method: DFT, PBE
State: optimized geometry

a b c (Å): 4.377 4.377 7.334
angles (deg): 90.00 90.00 120.00
Site moments in Bohr magnetons follow the coordinates.
Fractional coordinates of all 4 atoms:
1 V 0.333 0.667 0.356  2.63
2 V 0.667 0.333 0.856  2.63
3 Te 0.667 0.333 0.226  -0.14
4 Te 0.333 0.667 0.726  -0.14

Computed properties:
M_tot (μB/atom): 1.50
SG: P6_3mc (186)
Total DFT energy (no corrections) (hartree per atom): -0.2210
DOS(E_F) (states/eV/cell): 3.3

Material: CaAuS2N
Method: DFT, PBE
State: optimized geometry

a b c (Å): 5.247 5.247 4.335
angles (deg): 90.00 90.00 90.00
Site moments in Bohr magnetons follow the coordinates.
Fractional coordinates of all 5 atoms:
1 S 0.500 0.000 0.000  0.35
2 S 0.000 0.500 0.000  0.35
3 Ca 0.000 0.000 0.000  -0.02
4 Au 0.500 0.500 0.500  0.08
5 N 0.000 0.000 0.500  -0.14

Computed properties:
M_tot (μB/atom): 0.19
SG: P4/mmm (123)
Polymorph energy (0 for the lowest one) (eV per atom): 1.003
DOS(E_F) (states/eV/cell): 6.9